The following is a PBE with a Hubbard U calculation of a geometry-optimized Ba2Tc3WO12 structure, from Alexandria.

Cell lengths 7.331, 7.331, 7.331 Å; angles 58.57, 58.57, 58.57 degrees
Fractional coordinates of all 18 atoms:
Ba 0.113 0.113 0.113
Ba 0.887 0.887 0.887
Tc 0.000 0.500 0.500
Tc 0.500 0.000 0.500
Tc 0.500 0.500 0.000
W 0.500 0.500 0.500
O 0.173 0.173 0.578
O 0.173 0.578 0.173
O 0.181 0.571 0.571
O 0.422 0.827 0.827
O 0.429 0.429 0.819
O 0.429 0.819 0.429
O 0.571 0.181 0.571
O 0.571 0.571 0.181
O 0.578 0.173 0.173
O 0.819 0.429 0.429
O 0.827 0.422 0.827
O 0.827 0.827 0.422

Results
The calculated total energy comes out at -0.5495 Ry/atom.